(i)
A relaxed structure of CuSClO, computed with PBE.

Cell: 6.915 4.749 5.484 Å, 78.32 76.30 111.31°
Fractional positions:
Cl: 0.771 0.138 0.366
Cl: 0.231 0.710 0.417
O: 0.714 0.725 0.975
O: 0.240 0.270 0.980
Cu: 0.566 0.009 0.090
Cu: 0.009 0.933 0.355
S: 0.418 0.211 0.807
S: 0.742 0.524 0.800

Values from the calculation:
V: 154.5 Å³/cell
density: 3.16 g/cm³
SG: No. 1


(ii)
A relaxed structure of CuSClO, computed with PBE.

Cell: 8.574 6.331 3.386 Å, 89.45 91.91 66.47°
Fractional positions:
Cu: 0.911 0.226 0.879
Cu: 0.095 0.717 0.402
S: 0.541 0.112 0.719
S: 0.141 0.918 0.903
O: 0.416 0.097 0.431
O: 0.699 0.910 0.772
Cl: 0.070 0.493 0.904
Cl: 0.726 0.390 0.359

Values from the calculation:
V: 168.4 Å³/cell
density: 2.90 g/cm³
SG: No. 1


(ii) wins, 6.6 kJ/mol of atoms ahead of the next structure.


(i)
A relaxed structure of Cu3Se2Cl2O6, computed with PBE.

Cell: 6.169 8.096 8.720 Å, 90.86 94.49 91.59°
Last column: magnetic moment on the atom in μB.
Fractional positions:
Cl: 0.038 0.731 0.437  0.01
Cl: 0.962 0.269 0.563  0.01
Cl: 0.408 0.123 0.322  -0.08
Cl: 0.592 0.877 0.678  -0.08
Se: 0.618 0.302 0.775  0.01
Se: 0.897 0.185 0.179  0.01
Se: 0.382 0.698 0.225  0.01
Se: 0.103 0.815 0.821  0.01
O: 0.687 0.123 0.044  -0.07
O: 0.212 0.555 0.124  0.06
O: 0.179 0.613 0.768  0.04
O: 0.618 0.691 0.120  0.01
O: 0.821 0.387 0.232  0.04
O: 0.915 0.774 0.959  -0.02
O: 0.788 0.445 0.876  0.06
O: 0.085 0.226 0.041  -0.02
O: 0.474 0.574 0.384  0.00
O: 0.526 0.426 0.616  0.00
O: 0.313 0.877 0.956  -0.07
O: 0.382 0.309 0.880  0.01
Cu: 0.305 0.596 0.568  0.01
Cu: 0.095 0.403 0.871  0.48
Cu: 0.606 0.817 0.925  -0.44
Cu: 0.695 0.404 0.432  0.01
Cu: 0.905 0.597 0.129  0.48
Cu: 0.394 0.183 0.075  -0.44

Values from the calculation:
V: 433.9 Å³/cell
density: 3.95 g/cm³
SG: No. 2


(ii)
A relaxed structure of Cu3Se2Cl2O6, computed with PBE.

Cell: 5.478 5.478 8.046 Å, 77.86 77.86 69.44°
Last column: magnetic moment on the atom in μB.
Fractional positions:
Cu: 0.000 0.000 0.000  -0.25
Cu: 0.573 0.573 0.176  0.39
Cu: 0.427 0.427 0.824  0.39
O: 0.108 0.727 0.854  0.02
O: 0.273 0.892 0.146  0.02
O: 0.359 0.359 0.125  0.02
O: 0.727 0.108 0.854  0.02
O: 0.641 0.641 0.875  0.02
O: 0.892 0.273 0.146  0.02
Se: 0.177 0.177 0.252  0.00
Se: 0.823 0.823 0.748  0.00
Cl: 0.284 0.284 0.639  0.06
Cl: 0.716 0.716 0.361  0.06

Values from the calculation:
V: 218.5 Å³/cell
density: 3.92 g/cm³
SG: No. 12


(ii) wins, 0.6 kJ/mol of atoms ahead of the next structure.


(i)
A relaxed structure of CuOsCl, computed with PBE.

Cell: 6.461 6.461 6.461 Å, 154.25 154.25 36.74°
Fractional positions:
Cu: 0.297 0.297 0.000
Os: 0.671 0.671 0.000
Cl: 0.032 0.032 0.000

Values from the calculation:
V: 50.9 Å³/cell
density: 9.44 g/cm³
SG: No. 107


(ii)
A relaxed structure of CuOsCl, computed with PBE.

Cell: 6.799 6.441 2.933 Å, 84.13 70.46 25.41°
Fractional positions:
Cu: 0.333 0.333 0.667
Os: 0.666 0.666 0.334
Cl: 0.001 0.001 0.999

Values from the calculation:
V: 45.2 Å³/cell
density: 10.63 g/cm³
SG: No. 42


(ii) wins, 14.2 kJ/mol of atoms ahead of the next structure.


(i)
A relaxed structure of CuOsCl, computed with PBE.

Cell: 2.887 2.887 6.084 Å, 90.00 90.00 120.00°
Fractional positions:
Os: 0.333 0.667 0.664
Cl: 0.000 0.000 0.996
Cu: 0.667 0.333 0.341

Values from the calculation:
V: 43.9 Å³/cell
density: 10.93 g/cm³
SG: No. 156


(ii)
A relaxed structure of CuOsCl, computed with PBE.

Cell: 4.300 4.300 2.728 Å, 90.00 90.00 120.00°
Fractional positions:
Os: 0.333 0.667 0.834
Cl: 0.000 0.000 0.834
Cu: 0.667 0.333 0.332

Values from the calculation:
V: 43.7 Å³/cell
density: 10.99 g/cm³
SG: No. 187


(i) wins, 29.9 kJ/mol of atoms ahead of the next structure.


(i)
A relaxed structure of Cu2OsCl, computed with PBE.

Cell: 4.947 4.947 4.947 Å, 136.43 136.43 63.32°
Last column: magnetic moment on the atom in μB.
Fractional positions:
Cu: 0.500 0.500 0.000  0.06
Cu: 0.000 0.000 0.000  0.06
Os: 0.250 0.750 0.500  0.72
Cl: 0.750 0.250 0.500  0.01

Values from the calculation:
V: 56.8 Å³/cell
density: 10.32 g/cm³
SG: No. 139


(ii)
A relaxed structure of Cu2OsCl, computed with PBE.

Cell: 6.421 6.421 4.162 Å, 90.63 90.63 24.69°
Fractional positions:
Cu: 0.963 0.963 0.998
Cu: 0.843 0.843 0.494
Cl: 0.179 0.179 0.509
Os: 0.514 0.514 0.499

Values from the calculation:
V: 71.7 Å³/cell
density: 8.17 g/cm³
SG: No. 8


(iii)
A relaxed structure of Cu2OsCl, computed with PBE.

Cell: 2.841 2.841 8.138 Å, 90.00 90.00 118.88°
Last column: magnetic moment on the atom in μB.
Fractional positions:
Os: 0.500 0.500 0.250  0.18
Cu: 0.000 0.000 0.992  0.01
Cu: 0.000 0.000 0.508  0.01
Cl: 0.500 0.500 0.750  0.00

Values from the calculation:
V: 57.5 Å³/cell
density: 10.19 g/cm³
SG: No. 65


(iv)
A relaxed structure of Cu2OsCl, computed with PBE.

Cell: 4.322 4.322 4.322 Å, 60.00 60.00 60.00°
Last column: magnetic moment on the atom in μB.
Fractional positions:
Os: 0.750 0.750 0.750  1.57
Cu: 0.250 0.250 0.250  0.10
Cu: 0.000 0.000 0.000  0.21
Cl: 0.500 0.500 0.500  0.11

Values from the calculation:
V: 57.1 Å³/cell
density: 10.26 g/cm³
SG: No. 216


(iii) wins, 4.8 kJ/mol of atoms ahead of the next structure.


(i)
A relaxed structure of Cu2OsCl, computed with PBE.

Cell: 8.271 8.271 8.271 Å, 19.68 19.68 19.68°
Fractional positions:
Cu: 0.997 0.997 0.997
Cu: 0.252 0.252 0.252
Cl: 0.749 0.749 0.749
Os: 0.502 0.502 0.502

Values from the calculation:
V: 56.1 Å³/cell
density: 10.44 g/cm³
SG: No. 160


(ii)
A relaxed structure of Cu2OsCl, computed with PBE.

Cell: 2.818 2.818 7.330 Å, 90.00 90.00 90.00°
Last column: magnetic moment on the atom in μB.
Fractional positions:
Cu: 0.000 0.000 0.489  0.04
Cu: 0.000 0.000 0.011  0.04
Os: 0.500 0.500 0.250  0.34
Cl: 0.500 0.500 0.750  0.01

Values from the calculation:
V: 58.2 Å³/cell
density: 10.06 g/cm³
SG: No. 123


(iii)
A relaxed structure of Cu2OsCl, computed with PBE.

Cell: 4.824 4.824 2.581 Å, 90.00 90.00 90.00°
Last column: magnetic moment on the atom in μB.
Fractional positions:
Cl: 0.000 0.500 0.500  0.07
Os: 0.500 0.000 0.500  0.82
Cu: 0.500 0.500 0.000  0.07
Cu: 0.000 0.000 0.000  0.07

Values from the calculation:
V: 60.1 Å³/cell
density: 9.75 g/cm³
SG: No. 123


(iv)
A relaxed structure of Cu2OsCl, computed with PBE.

Cell: 2.840 2.840 8.466 Å, 90.00 90.00 121.89°
Fractional positions:
Cu: 0.500 0.500 0.247
Cu: 0.000 0.000 0.007
Cl: 0.500 0.500 0.745
Os: 0.000 0.000 0.501

Values from the calculation:
V: 58.0 Å³/cell
density: 10.10 g/cm³
SG: No. 35


(ii) wins, 2.6 kJ/mol of atoms ahead of the next structure.


(i)
A relaxed structure of Cu2OsCl, computed with PBE.

Cell: 4.833 4.833 2.686 Å, 90.00 90.00 116.06°
Fractional positions:
Cu: 0.000 0.000 0.000
Cu: 0.500 0.500 0.000
Cl: 0.000 0.500 0.500
Os: 0.500 0.000 0.500

Values from the calculation:
V: 56.3 Å³/cell
density: 10.40 g/cm³
SG: No. 65


(ii)
A relaxed structure of Cu2OsCl, computed with PBE.

Cell: 4.428 4.428 4.428 Å, 60.00 60.00 60.00°
Last column: magnetic moment on the atom in μB.
Fractional positions:
Cu: 0.250 0.250 0.250  0.14
Cu: 0.750 0.750 0.750  0.14
Cl: 0.000 0.000 0.000  0.09
Os: 0.500 0.500 0.500  2.01

Values from the calculation:
V: 61.4 Å³/cell
density: 9.54 g/cm³
SG: No. 225


(i) wins, 50.0 kJ/mol of atoms ahead of the next structure.


(i)
A relaxed structure of CuOsCl3, computed with PBE.

Cell: 4.796 4.796 4.796 Å, 90.00 90.00 90.00°
Last column: magnetic moment on the atom in μB.
Fractional positions:
Cu: 0.500 0.500 0.500  -0.01
Cl: 0.000 0.500 0.000  0.02
Cl: 0.000 0.000 0.500  0.03
Cl: 0.500 0.000 0.000  0.07
Os: 0.000 0.000 0.000  1.10

Values from the calculation:
V: 110.3 Å³/cell
density: 5.42 g/cm³
SG: No. 221


(ii)
A relaxed structure of CuOsCl3, computed with PBE.

Cell: 4.723 4.723 4.723 Å, 90.00 90.00 90.00°
Last column: magnetic moment on the atom in μB.
Fractional positions:
Cl: 0.000 0.000 0.500  0.09
Cl: 0.500 0.000 0.000  0.09
Cl: 0.000 0.500 0.000  0.12
Os: 0.500 0.500 0.500  3.51
Cu: 0.000 0.000 0.000  0.01

Values from the calculation:
V: 105.3 Å³/cell
density: 5.68 g/cm³
SG: No. 221


(i) wins, 38.7 kJ/mol of atoms ahead of the next structure.


(i)
A relaxed structure of CuOsCl6, computed with PBE.

Cell: 6.916 6.924 6.594 Å, 58.33 74.70 59.82°
Last column: magnetic moment on the atom in μB.
Fractional positions:
Cl: 0.691 0.690 0.000  0.18
Cl: 0.245 0.897 0.718  0.09
Cl: 0.309 0.310 0.000  0.18
Cl: 0.245 0.614 0.282  0.09
Cl: 0.755 0.103 0.282  0.09
Cl: 0.755 0.386 0.718  0.09
Cu: 0.000 0.000 0.000  0.44
Os: 0.500 0.500 0.000  1.50

Values from the calculation:
V: 232.3 Å³/cell
density: 3.33 g/cm³
SG: No. 12


(ii)
A relaxed structure of CuOsCl6, computed with PBE.

Cell: 6.114 6.116 6.529 Å, 62.03 62.06 60.01°
Last column: magnetic moment on the atom in μB.
Fractional positions:
Cl: 0.389 0.764 0.756  0.12
Cl: 0.909 0.610 0.244  0.12
Cl: 0.764 0.091 0.756  0.12
Cl: 0.091 0.390 0.756  0.12
Cl: 0.611 0.236 0.244  0.12
Cl: 0.236 0.909 0.244  0.12
Cu: 0.500 0.500 0.500  0.28
Os: 0.000 0.000 0.000  1.65

Values from the calculation:
V: 177.8 Å³/cell
density: 4.36 g/cm³
SG: No. 148


(i) wins, 4.1 kJ/mol of atoms ahead of the next structure.


(i)
A relaxed structure of CuPOsCl2, computed with PBE.

Cell: 4.297 4.297 5.557 Å, 90.00 90.00 90.00°
Last column: magnetic moment on the atom in μB.
Fractional positions:
Os: 0.500 0.500 0.500  2.87
Cl: 0.000 0.500 0.000  0.05
Cl: 0.500 0.000 0.000  0.05
Cu: 0.000 0.000 0.000  -0.04
P: 0.000 0.000 0.500  -0.11

Values from the calculation:
V: 102.6 Å³/cell
density: 5.76 g/cm³
SG: No. 123


(ii)
A relaxed structure of CuPOsCl2, computed with PBE.

Cell: 4.952 4.952 4.466 Å, 90.00 90.00 90.00°
Fractional positions:
P: 0.000 0.000 0.500
Cl: 0.500 0.000 0.000
Cl: 0.000 0.500 0.000
Os: 0.000 0.000 0.000
Cu: 0.500 0.500 0.500

Values from the calculation:
V: 109.5 Å³/cell
density: 5.39 g/cm³
SG: No. 123


(ii) wins, 55.6 kJ/mol of atoms ahead of the next structure.


(i)
A relaxed structure of CuOsS2Cl, computed with PBE.

Cell: 4.515 4.515 5.136 Å, 90.00 90.00 90.00°
Fractional positions:
Cu: 0.500 0.500 0.500
Os: 0.000 0.000 0.000
S: 0.000 0.500 0.000
S: 0.500 0.000 0.000
Cl: 0.000 0.000 0.500

Values from the calculation:
V: 104.7 Å³/cell
density: 5.60 g/cm³
SG: No. 123


(ii)
A relaxed structure of CuOsS2Cl, computed with PBE.

Cell: 4.605 4.605 4.397 Å, 90.00 90.00 90.00°
Last column: magnetic moment on the atom in μB.
Fractional positions:
Cl: 0.000 0.000 0.500  0.13
S: 0.000 0.500 0.000  0.06
S: 0.500 0.000 0.000  0.06
Os: 0.500 0.500 0.500  2.97
Cu: 0.000 0.000 0.000  0.01

Values from the calculation:
V: 93.2 Å³/cell
density: 6.29 g/cm³
SG: No. 123


(i) wins, 65.0 kJ/mol of atoms ahead of the next structure.